# SrSm2Hg, optimized geometry, DFT GGA-PBE
# E   -2.974 eV per atom
# Calculated volume   141.29 Å³/f.u.
# ΔH_f (0 K)   -118.2 meV/atom
# Size of the total moment   0.07 μB per formula unit
data_SrSm2Hg
_chemical_formula_sum 'Sr1 Sm2 Hg1'
_cell_length_a 3.8483
_cell_length_b 3.8483
_cell_length_c 9.5404
_cell_angle_alpha 90.00
_cell_angle_beta 90.00
_cell_angle_gamma 90.00
_symmetry_space_group_name_H-M 'P 4/m m m'
_symmetry_Int_Tables_number 123
_symmetry_space_group_name_Hall '-P 4 2'
loop_
_atom_site_label
_atom_site_fract_x
_atom_site_fract_y
_atom_site_fract_z
_atom_site_occupancy
Sr1 0.0000 0.0000 0.0000 1
Sm1 0.5000 0.5000 0.3132 1
Hg1 0.0000 0.0000 0.5000 1